No. 1
The following is a PBE-GGA calculation of a relaxed Al2AgW crystal, from the Alexandria database.

**Fermi-level density of states**: 0.61 states/eV/atom
**Symmetry**: No. 8
**ΔH_f (0 K)**: 0.029 eV per atom

Cell: 5.175 5.175 4.734 Å, 72.23 72.23 32.07°
Positions (direct):
Al 0.003 0.003 0.063
Al 0.750 0.750 0.678
W 0.494 0.494 0.576
Ag 0.253 0.253 0.183

---

No. 2
The following is a PBE-GGA calculation of a relaxed KScSe2N crystal, from the Alexandria database.

**Fermi-level density of states**: 0.74 states/eV/atom
**Symmetry**: No. 123
**Energy relative to the elements, uncorrected**: -451 meV/atom

Cell: 5.341 5.341 4.357 Å, 90.00 90.00 90.00°
Positions (direct):
K 0.500 0.500 0.500
Se 0.500 0.000 0.000
Se 0.000 0.500 0.000
N 0.000 0.000 0.500
Sc 0.000 0.000 0.000

---

No. 3
The following is a PBE-GGA calculation of a relaxed SiSnPd4 crystal, from the Alexandria database.

**Fermi-level density of states**: 0.28 states/eV/atom
**Symmetry**: No. 62
**Energy relative to the elements, uncorrected**: -625 meV/atom

Cell: 3.502 6.875 16.010 Å, 90.00 90.00 90.00°
Positions (direct):
Si 0.250 0.250 0.944
Si 0.250 0.750 0.556
Si 0.750 0.250 0.444
Si 0.750 0.750 0.056
Pd 0.250 0.126 0.351
Pd 0.250 0.060 0.795
Pd 0.750 0.496 0.565
Pd 0.750 0.367 0.045
Pd 0.250 0.504 0.435
Pd 0.750 0.867 0.455
Pd 0.250 0.004 0.065
Pd 0.750 0.940 0.205
Pd 0.250 0.560 0.705
Pd 0.250 0.133 0.545
Pd 0.750 0.440 0.295
Pd 0.750 0.996 0.935
Pd 0.750 0.874 0.649
Pd 0.750 0.374 0.851
Pd 0.250 0.633 0.955
Pd 0.250 0.626 0.149
Sn 0.250 0.254 0.189
Sn 0.750 0.746 0.811
Sn 0.750 0.246 0.689
Sn 0.250 0.754 0.311

---

No. 4
The following is a PBE-GGA calculation of a relaxed NiAg2Te2 crystal, from the Alexandria database.

**Fermi-level density of states**: 0.37 states/eV/atom
**Symmetry**: No. 127
**Energy relative to the elements, uncorrected**: 179 meV/atom

Cell: 7.056 7.056 4.566 Å, 90.00 90.00 90.00°
Positions (direct):
Ag 0.645 0.855 0.500
Ag 0.855 0.355 0.500
Ag 0.145 0.645 0.500
Ag 0.355 0.145 0.500
Te 0.824 0.676 0.000
Te 0.176 0.324 0.000
Te 0.324 0.824 0.000
Te 0.676 0.176 0.000
Ni 0.000 0.000 0.000
Ni 0.500 0.500 0.000

---

No. 5
The following is a PBE-GGA calculation of a relaxed CdHg2C2O6 crystal, from the Alexandria database.

**Fermi-level density of states**: 0.00 states/eV/atom
**Symmetry**: No. 12
**Energy relative to the elements, uncorrected**: -1004 meV/atom

Cell: 5.536 5.270 8.462 Å, 117.17 90.00 121.68°
Positions (direct):
O 0.855 0.112 0.718
O 0.743 0.888 0.282
O 0.802 0.604 0.626
O 0.257 0.112 0.718
O 0.198 0.396 0.374
O 0.145 0.888 0.282
Hg 0.333 0.665 0.877
Hg 0.667 0.335 0.123
C 0.037 0.074 0.318
C 0.963 0.926 0.682
Cd 0.500 0.000 0.500

---

No. 6
The following is a PBE-GGA calculation of a relaxed PrNi6As2 crystal, from the Alexandria database.

**Fermi-level density of states**: 1.43 states/eV/atom
**Symmetry**: No. 123
**ΔH_f (0 K)**: -0.364 eV per atom

Cell: 4.089 4.089 7.810 Å, 90.00 90.00 90.00°
Positions (direct):
Ni 0.500 0.000 0.676
Ni 0.000 0.500 0.324
Ni 0.000 0.500 0.676
Ni 0.500 0.000 0.324
Ni 0.000 0.000 0.500
Ni 0.500 0.500 0.500
As 0.500 0.500 0.178
As 0.500 0.500 0.822
Pr 0.000 0.000 0.000

---

No. 7
The following is a PBE-GGA calculation of a relaxed VFe2Au crystal, from the Alexandria database.

**Fermi-level density of states**: 0.57 states/eV/atom
**Symmetry**: No. 123
**ΔH_f (0 K)**: 0.020 eV per atom

Cell: 3.683 3.820 3.820 Å, 90.00 90.00 90.00°
Positions (direct):
Fe 0.000 0.000 0.500
Fe 0.000 0.500 0.000
V 0.500 0.000 0.000
Au 0.500 0.500 0.500

---

No. 8
The following is a PBE-GGA calculation of a relaxed BaCdBr2 crystal, from the Alexandria database.

**Fermi-level density of states**: 0.00 states/eV/atom
**Symmetry**: No. 166
**Energy relative to the elements, uncorrected**: -1435 meV/atom

Cell: 4.958 4.958 10.145 Å, 75.87 75.87 59.97°
Positions (direct):
Br 0.530 0.530 0.410
Br 0.970 0.970 0.090
Cd 0.750 0.750 0.750
Ba 0.250 0.250 0.250

---

No. 9
The following is a PBE-GGA calculation of a relaxed K2CdAg crystal, from the Alexandria database.

**Fermi-level density of states**: 0.52 states/eV/atom
**Symmetry**: No. 8
**ΔH_f (0 K)**: -0.039 eV per atom

Cell: 4.958 4.958 8.539 Å, 73.52 73.52 59.77°
Positions (direct):
K 0.213 0.213 0.352
K 0.037 0.037 0.898
Cd 0.792 0.792 0.624
Ag 0.458 0.458 0.626

---

No. 10
The following is a PBE-GGA calculation of a relaxed TlCuRe3 crystal, from the Alexandria database.

**Fermi-level density of states**: 1.43 states/eV/atom
**Symmetry**: No. 221
**ΔH_f (0 K)**: 2.066 eV per atom

Cell: 4.523 4.523 4.523 Å, 90.00 90.00 90.00°
Positions (direct):
Re 0.000 0.500 0.000
Re 0.500 0.000 0.000
Re 0.000 0.000 0.500
Tl 0.500 0.500 0.500
Cu 0.000 0.000 0.000

---

No. 11
The following is a PBE-GGA calculation of a relaxed KAgCl2 crystal, from the Alexandria database.

**Fermi-level density of states**: 0.00 states/eV/atom
**Symmetry**: No. 44
**Energy relative to the elements, uncorrected**: -1104 meV/atom

Cell: 7.570 7.570 7.570 Å, 151.10 149.97 42.17°
Positions (direct):
K 0.456 0.456 0.000
Ag 0.205 0.705 0.500
Cl 0.059 0.059 0.000
Cl 0.780 0.280 0.500

---

No. 12
The following is a PBE-GGA calculation of a relaxed SmIn2PbSe4 crystal, from the Alexandria database.

**Fermi-level density of states**: 0.48 states/eV/atom
**Symmetry**: No. 10
**Energy relative to the elements, uncorrected**: -854 meV/atom

Cell: 4.230 7.616 7.592 Å, 71.30 90.00 90.00°
Positions (direct):
Se 0.000 0.747 0.731
Se 0.000 0.253 0.269
Se 0.500 0.732 0.274
Se 0.500 0.268 0.726
Pb 0.500 0.500 0.000
Sm 0.000 0.500 0.500
In 0.500 0.000 0.500
In 0.000 0.000 0.000

---

Number 1: V 64 Å³ per cell. Number 2: V 124 Å³ per cell. Number 3: V 385 Å³ per cell. Number 4: V 227 Å³ per cell. Number 5: V 177 Å³ per cell. Number 6: V 131 Å³ per cell. Number 7: V 54 Å³ per cell. Number 8: V 207 Å³ per cell. Number 9: V 171 Å³ per cell. Number 10: V 93 Å³ per cell. Number 11: V 105 Å³ per cell. Number 12: V 232 Å³ per cell.